No. 1
Material: SrPr2Ag
Method: DFT, PBE-GGA
State: optimized geometry

Excess energy over the best structure of this formula in the dataset: 201 meV/atom
Space-group type: R-3m, No. 166
ρ: 5.48 g/cm3
ΔH_f (0 K): 0.19 eV/atom
V: 36.18 A^3/atom

a b c (Å): 3.7179 3.7179 12.2773
angles (deg): 81.29 81.29 60.00
Last column: nearest neighbours and their distance in Å.
Atoms (fractional coordinates):
Pr1 0.8985 0.8985 0.3046  3 Ag 3.19
Sr1 0.0000 0.0000 0.0000  2 Pr 3.68, 6 Sr 3.72
Pr2 0.1015 0.1015 0.6954  3 Ag 3.19
Ag1 0.5000 0.5000 0.5000  6 Pr 3.19

=====

No. 2
Material: TiTl2BiS4
Method: DFT, PBE-GGA
State: optimized geometry

Space-group type: Pmn2_1, No. 31
ρ: 5.35 g/cm3
V: 30.82 A^3/atom
Formation energy without anion corrections: -590.8 meV/atom

a b c (Å): 6.3014 9.3537 8.3651
angles (deg): 90.00 90.00 90.00
Last column: nearest neighbours and their distance in Å.
Atoms (fractional coordinates):
S1 0.3949 0.1808 0.0000  1 Ti 2.32
S2 0.4366 0.7191 0.7283  1 Ti 2.31
Tl1 0.4373 0.3480 0.2882  2 S 2.89-3.15
S3 0.9366 0.2809 0.7717  1 Ti 2.31
Tl2 0.4373 0.3480 0.7118  2 S 2.89-3.15
S4 0.4366 0.7191 0.2717  1 Ti 2.31
Tl3 0.9373 0.6520 0.7882  2 S 2.89-3.15
Ti1 0.0291 0.1576 0.0000  4 S 2.31-2.32
Bi1 0.4366 0.8940 0.0000  4 S 2.70-2.88
Tl4 0.9373 0.6520 0.2118  2 S 2.89-3.15
S5 0.8949 0.8192 0.5000  1 Ti 2.32
S6 0.8913 0.9284 0.0000  1 Ti 2.31
Ti2 0.5291 0.8424 0.5000  4 S 2.31-2.32
S7 0.3913 0.0716 0.5000  1 Ti 2.31
S8 0.9366 0.2809 0.2283  1 Ti 2.31
Bi2 0.9366 0.1060 0.5000  4 S 2.70-2.88

=====

No. 3
Material: NbCrReRu
Method: DFT, PBE-GGA
State: optimized geometry

Space-group type: F-43m, No. 216
ρ: 11.93 g/cm3
ΔH_f (0 K): 0.01 eV/atom
V: 15.04 A^3/atom

a b c (Å): 4.3984 4.3984 4.3984
angles (deg): 60.00 60.00 60.00
Last column: nearest neighbours and their distance in Å.
Atoms (fractional coordinates):
Ru1 0.7500 0.7500 0.7500  4 Cr 2.69, 4 Nb 2.69
Nb1 0.0000 0.0000 0.0000  4 Re 2.69, 4 Ru 2.69
Re1 0.2500 0.2500 0.2500  4 Cr 2.69, 4 Nb 2.69
Cr1 0.5000 0.5000 0.5000  4 Re 2.69, 4 Ru 2.69

=====

No. 4
Material: Ho2Pa2Rh5
Method: DFT, PBE-GGA
State: optimized geometry

Space-group type: Cmce, No. 64
ρ: 11.27 g/cm3
ΔH_f (0 K): -0.70 eV/atom
V: 21.39 A^3/atom

a b c (Å): 7.5124 7.8540 7.8540
angles (deg): 123.81 90.00 90.00
Last column: nearest neighbours and their distance in Å.
Atoms (fractional coordinates):
Ho1 0.0000 0.2025 0.7975  7 Rh 2.81-3.07
Ho2 0.0000 0.7975 0.2025  7 Rh 2.81-3.07
Pa1 0.6614 0.8395 0.8395  8 Rh 2.67-2.88
Ho3 0.5000 0.2975 0.7025  7 Rh 2.81-3.07
Ho4 0.5000 0.7025 0.2975  7 Rh 2.81-3.07
Rh1 0.3545 0.7323 0.9801  3 Pa 2.67-2.88, 1 Ho 2.85
Rh2 0.3545 0.9801 0.7323  3 Pa 2.67-2.88, 1 Ho 2.85
Rh3 0.1455 0.2323 0.4801  3 Pa 2.67-2.88, 1 Ho 2.85
Pa2 0.1614 0.6605 0.6605  8 Rh 2.67-2.88
Rh4 0.5000 0.5000 0.5000  4 Pa 2.79-2.81, 2 Ho 2.81
Rh5 0.1455 0.4801 0.2323  3 Pa 2.67-2.88, 1 Ho 2.85
Pa3 0.8386 0.3395 0.3395  8 Rh 2.67-2.88
Pa4 0.3386 0.1605 0.1605  8 Rh 2.67-2.88
Rh6 0.6455 0.0199 0.2677  3 Pa 2.67-2.88, 1 Ho 2.85
Rh7 0.0000 0.0000 0.0000  4 Pa 2.79-2.81, 2 Ho 2.81
Rh8 0.8545 0.7677 0.5199  3 Pa 2.67-2.88, 1 Ho 2.85
Rh9 0.8545 0.5199 0.7677  3 Pa 2.67-2.88, 1 Ho 2.85
Rh10 0.6455 0.2677 0.0199  3 Pa 2.67-2.88, 1 Ho 2.85

=====

No. 5
Material: Ac2DyTc2N6
Method: DFT, PBE-GGA
State: optimized geometry

Space-group type: R-3m, No. 166
ρ: 8.10 g/cm3
V: 16.71 A^3/atom
Formation energy without anion corrections: -710.3 meV/atom

a b c (Å): 5.8677 5.8677 7.0352
angles (deg): 65.35 65.35 60.00
Last column: nearest neighbours and their distance in Å.
Atoms (fractional coordinates):
N1 0.2567 0.2567 0.7186  1 Tc 1.80
Tc1 0.6001 0.6001 0.1998  3 N 1.80
N2 0.7433 0.7433 0.2814  1 Tc 1.80
N3 0.7433 0.2321 0.2814  1 Tc 1.80
Tc2 0.3999 0.3999 0.8002  3 N 1.80
N4 0.2321 0.7433 0.2814  1 Tc 1.80
Ac1 0.7883 0.7883 0.6352  9 N 2.74-2.98
N5 0.2567 0.7679 0.7186  1 Tc 1.80
Dy1 0.0000 0.0000 0.0000  6 N 2.40
N6 0.7679 0.2567 0.7186  1 Tc 1.80
Ac2 0.2117 0.2117 0.3648  9 N 2.74-2.98

=====

No. 6
Material: ErBiPdRh
Method: DFT, PBE-GGA
State: optimized geometry

Space-group type: F-43m, No. 216
ρ: 12.15 g/cm3
ΔH_f (0 K): -0.64 eV/atom
V: 20.01 A^3/atom

a b c (Å): 4.8371 4.8371 4.8371
angles (deg): 60.00 60.00 60.00
Last column: nearest neighbours and their distance in Å.
Atoms (fractional coordinates):
Rh1 0.5000 0.5000 0.5000  4 Bi 2.96, 4 Er 2.96
Pd1 0.0000 0.0000 0.0000  4 Er 2.96, 4 Bi 2.96
Er1 0.2500 0.2500 0.2500  4 Rh 2.96, 4 Pd 2.96
Bi1 0.7500 0.7500 0.7500  4 Pd 2.96, 4 Rh 2.96